A plane-wave DFT calculation with PBE+U was carried out for TaVO4 after structural relaxation.

Structure (CIF):
```
data_TaVO4
_cell_length_a 5.673
_cell_length_b 4.750
_cell_length_c 5.648
_cell_angle_alpha 90.00
_cell_angle_beta 114.12
_cell_angle_gamma 90.00
_symmetry_space_group_name_H-M 'P 1 21/c 1'
_symmetry_Int_Tables_number 14
_symmetry_space_group_name_Hall '-P 2ybc'
loop_
_atom_site_label
_atom_site_type_symbol
_atom_site_fract_x
_atom_site_fract_y
_atom_site_fract_z
_atom_site_occupancy
Ta1 Ta 0.000 0.000 0.000 1
V1 V 0.500 0.000 0.500 1
O1 O 0.143 0.205 0.338 1
O2 O 0.340 0.695 0.642 1
```

## Properties
E = -9.0758 eV per atom
M_tot = 4.0 μB per cell